1.
First-principles (PBE) data for an optimized crystal structure of YZrTi2, as listed in Alexandria via LeMat-Bulk.

Values from the calculation:
energy relative to the lowest polymorph listed for this composition: 0.0 kJ/mol of atoms
formation enthalpy at 0 K: 142 meV/atom

Cell lengths 3.623, 3.623, 6.785 Å; angles 90.00, 90.00, 90.00 degrees
Space group P4/mmm (No. 123)
Asymmetric unit:
Y (0.000, 0.000, 0.000) (multiplicity 1)
Zr (0.000, 0.000, 0.500) (multiplicity 1)
Ti (0.500, 0.500, 0.298) (multiplicity 2)

2.
First-principles (PBE) data for an optimized crystal structure of Y2Zr2Ti, as listed in Alexandria via LeMat-Bulk.

Values from the calculation:
formation enthalpy at 0 K: 304 meV/atom

Cell lengths 7.229, 7.229, 4.986 Å; angles 90.00, 90.00, 90.00 degrees
Space group P4/mbm (No. 127)
Asymmetric unit:
Y (0.167, 0.333, 0.000) (multiplicity 4)
Zr (0.142, 0.642, 0.500) (multiplicity 4)
Ti (0.000, 0.000, 0.500) (multiplicity 2)